No. 1
Compound: HfThZr2
Source: Alexandria
Functional: PBE
Structure: optimized geometry

## Properties
- Final energy: -8.54 eV/atom
- Formation energy from the elements: 1.72 kcal/mol of atoms
- Spin magnetization: 0.0 μB/cell
- Space-group type: I4/mmm, No. 139
- Relative energy among the computed polymorphs: 0 meV/atom

Cell: 4.6858 4.6856 5.6255 Å, 114.61 114.61 90.00°
Last column: nearest neighbours and their distance in Å.
Fractional coordinates of all 4 atoms:
Hf 0.7500 0.2500 0.5000  8 Zr 3.26, 4 Th 3.31
Zr 0.5001 0.5000 0.0000  4 Hf 3.26, 4 Th 3.26, 4 Zr 3.31
Zr 0.0000 0.0000 0.0000  4 Hf 3.26, 4 Th 3.26, 4 Zr 3.31
Th 0.2500 0.7500 0.5000  8 Zr 3.26, 4 Hf 3.31

No. 2
Compound: CeCd3Pd3
Source: Alexandria
Functional: PBE
Structure: optimized geometry

## Properties
- Final energy: -3.82 eV/atom
- Formation energy from the elements: -8.14 kcal/mol of atoms
- Spin magnetization: 1.3 μB/cell
- Space-group type: R-3, No. 148

Cell: 8.0078 8.0078 7.2772 Å, 56.62 56.62 60.00°
Last column: nearest neighbours and their distance in Å.
Fractional coordinates of all 14 atoms:
Pd 0.7423 0.3531 0.8652  4 Cd 2.78-2.87, 2 Ce 2.84-2.94, 2 Pd 2.88
Pd 0.0394 0.7423 0.8652  4 Cd 2.78-2.87, 2 Ce 2.84-2.94, 2 Pd 2.88
Pd 0.2577 0.6469 0.1348  4 Cd 2.78-2.87, 2 Ce 2.84-2.94, 2 Pd 2.88
Pd 0.3531 0.0394 0.8652  4 Cd 2.78-2.87, 2 Ce 2.84-2.94, 2 Pd 2.88
Pd 0.6469 0.9606 0.1348  4 Cd 2.78-2.87, 2 Ce 2.84-2.94, 2 Pd 2.88
Pd 0.9606 0.2577 0.1348  4 Cd 2.78-2.87, 2 Ce 2.84-2.94, 2 Pd 2.88
Cd 0.4398 0.7996 0.6261  4 Pd 2.78-2.87, 3 Cd 3.02-3.04
Cd 0.8655 0.5602 0.3739  4 Pd 2.78-2.87, 3 Cd 3.02-3.04
Cd 0.1345 0.4398 0.6261  4 Pd 2.78-2.87, 3 Cd 3.02-3.04
Cd 0.2004 0.8655 0.3739  4 Pd 2.78-2.87, 3 Cd 3.02-3.04
Cd 0.5602 0.2004 0.3739  4 Pd 2.78-2.87, 3 Cd 3.02-3.04
Cd 0.7996 0.1345 0.6261  4 Pd 2.78-2.87, 3 Cd 3.02-3.04
Ce 0.3286 0.3286 0.0142  6 Pd 2.84-2.94
Ce 0.6714 0.6714 0.9858  6 Pd 2.84-2.94

No. 3
Compound: PrZn2Ag8
Source: Alexandria
Functional: PBE
Structure: optimized geometry

## Properties
- Final energy: -2.72 eV/atom
- Formation energy from the elements: 0.49 kcal/mol of atoms
- Spin magnetization: 0.0 μB/cell
- Space-group type: C2/m, No. 12
- Relative energy among the computed polymorphs: 0 meV/atom

Cell: 4.9986 7.4035 7.4034 Å, 115.32 75.37 75.37°
Last column: nearest neighbours and their distance in Å.
Fractional coordinates of all 11 atoms:
Ag 0.8694 0.3248 0.0795  2 Zn 2.76-2.85, 5 Ag 2.80-3.07
Ag 0.1306 0.9205 0.6752  2 Zn 2.76-2.85, 5 Ag 2.80-3.07
Ag 0.3045 0.4303 0.4303  4 Ag 2.66-2.96, 2 Zn 2.71
Ag 0.1306 0.6752 0.9205  2 Zn 2.76-2.85, 5 Ag 2.80-3.07
Ag 0.5000 0.2392 0.7608  2 Zn 2.66, 2 Ag 2.80
Ag 0.5000 0.7608 0.2392  2 Zn 2.66, 2 Ag 2.80
Ag 0.8694 0.0795 0.3248  2 Zn 2.76-2.85, 5 Ag 2.80-3.07
Ag 0.6955 0.5697 0.5697  4 Ag 2.66-2.96, 2 Zn 2.71
Zn 0.0000 0.3119 0.6881  8 Ag 2.66-2.85
Zn 0.0000 0.6881 0.3119  8 Ag 2.66-2.85
Pr 0.5000 0.0000 0.0000  12 Ag 2.99-3.33